No. 1
Below is a geometry-optimized HfSb2TeI structure, with properties calculated at the PBE level.

Output
- E above lowest polymorph: 1250 meV per atom
- Symmetry: P4/mmm, No. 123
- Crystal system: tetragonal
- Total moment: 0.0 μB per formula unit

Cell lengths 5.628, 5.628, 5.633 Å; angles 90.00, 90.00, 90.00 degrees
Element x y z (fractional)
Te1 0.000 0.000 0.500
Sb1 0.500 0.000 0.000
Sb2 0.000 0.500 0.000
Hf1 0.500 0.500 0.500
I1 0.000 0.000 0.000

---

No. 2
Below is a geometry-optimized HfSb2TeI structure, with properties calculated at the PBE level.

Output
- E above lowest polymorph: 1051 meV per atom
- Symmetry: P4/mmm, No. 123
- Crystal system: tetragonal
- Total moment: 0.4 μB per formula unit

Cell lengths 5.738, 5.738, 5.533 Å; angles 90.00, 90.00, 90.00 degrees
Site moments in Bohr magnetons follow the coordinates.
Element x y z (fractional)
I1 0.000 0.000 0.500  -0.01
Sb1 0.500 0.000 0.000  -0.03
Sb2 0.000 0.500 0.000  -0.03
Hf1 0.500 0.500 0.500  0.38
Te1 0.000 0.000 0.000  0.00

---

No. 3
Below is a geometry-optimized HfSbTe2I structure, with properties calculated at the PBE level.

Output
- E above lowest polymorph: 1302 meV per atom
- Symmetry: P4/mmm, No. 123
- Crystal system: tetragonal
- Total moment: 0.6 μB per formula unit

Cell lengths 5.662, 5.662, 5.687 Å; angles 90.00, 90.00, 90.00 degrees
Site moments in Bohr magnetons follow the coordinates.
Element x y z (fractional)
Sb1 0.000 0.000 0.500  -0.01
Hf1 0.500 0.500 0.500  0.44
Te1 0.000 0.500 0.000  -0.02
Te2 0.500 0.000 0.000  -0.02
I1 0.000 0.000 0.000  0.02

---

No. 4
Below is a geometry-optimized HfTiSb2I structure, with properties calculated at the PBE level.

Output
- E above lowest polymorph: 0 meV per atom
- Symmetry: P4/mmm, No. 123
- Crystal system: tetragonal
- Total moment: 2.1 μB per formula unit

Cell lengths 5.522, 5.522, 5.601 Å; angles 90.00, 90.00, 90.00 degrees
Site moments in Bohr magnetons follow the coordinates.
Element x y z (fractional)
Hf1 0.000 0.000 0.000  -0.01
Sb1 0.000 0.500 0.000  -0.08
Sb2 0.500 0.000 0.000  -0.08
I1 0.000 0.000 0.500  -0.06
Ti1 0.500 0.500 0.500  1.96

---

No. 5
Below is a geometry-optimized HfTiSbI2 structure, with properties calculated at the PBE level.

Output
- E above lowest polymorph: 0 meV per atom
- Symmetry: P4/mmm, No. 123
- Crystal system: tetragonal
- Total moment: 2.3 μB per formula unit

Cell lengths 5.299, 5.299, 5.569 Å; angles 90.00, 90.00, 90.00 degrees
Site moments in Bohr magnetons follow the coordinates.
Element x y z (fractional)
I1 0.500 0.000 0.000  -0.02
I2 0.000 0.500 0.000  -0.02
Ti1 0.000 0.000 0.000  0.86
Sb1 0.000 0.000 0.500  -0.06
Hf1 0.500 0.500 0.500  0.89

---

No. 6
Below is a geometry-optimized HfTl2SbI structure, with properties calculated at the PBE level.

Output
- Total energy: -3.549 eV per atom
- Symmetry: P4/mmm, No. 123
- Crystal system: tetragonal
- Total moment: 1.8 μB per formula unit

Cell lengths 6.355, 5.434, 6.355 Å; angles 90.00, 90.00, 90.00 degrees
Site moments in Bohr magnetons follow the coordinates.
Element x y z (fractional)
Hf1 0.000 0.500 0.000  0.90
Sb1 0.000 0.000 0.000  -0.02
I1 0.500 0.500 0.500  0.03
Tl1 0.500 0.000 0.000  0.03
Tl2 0.000 0.000 0.500  0.02

---

No. 7
Below is a geometry-optimized HfTlSbI2 structure, with properties calculated at the PBE level.

Output
- E above lowest polymorph: 0 meV per atom
- Symmetry: P4/mmm, No. 123
- Crystal system: tetragonal
- Total moment: 0.0 μB per formula unit

Cell lengths 5.771, 5.771, 5.622 Å; angles 90.00, 90.00, 90.00 degrees
Element x y z (fractional)
I1 0.000 0.500 0.000
I2 0.500 0.000 0.000
Hf1 0.000 0.000 0.000
Tl1 0.500 0.500 0.500
Sb1 0.000 0.000 0.500

---

No. 8
Below is a geometry-optimized HfVSb2I structure, with properties calculated at the PBE level.

Output
- E above lowest polymorph: 0 meV per atom
- Symmetry: P4/mmm, No. 123
- Crystal system: tetragonal
- Total moment: 2.4 μB per formula unit

Cell lengths 5.140, 5.140, 5.337 Å; angles 90.00, 90.00, 90.00 degrees
Site moments in Bohr magnetons follow the coordinates.
Element x y z (fractional)
Sb1 0.000 0.500 0.000  -0.07
Sb2 0.500 0.000 0.000  -0.07
V1 0.000 0.000 0.000  1.57
Hf1 0.500 0.500 0.500  0.56
I1 0.000 0.000 0.500  -0.02